P.
Density functional theory data (PBE-GGA) for YPdIO2 after structural relaxation.

Cell and atoms, written as POSCAR:
```
YPdIO2
1.0
4.305 0.000 0.000
0.000 4.305 0.000
0.000 0.000 5.001
Y Pd I O
1 1 1 2
Cartesian
0.000 0.000 0.000
2.153 2.153 2.501
2.153 2.153 0.000
0.000 2.153 2.501
2.153 0.000 2.501
```

---

Q.
Density functional theory data (PBE-GGA) for YPdIO2 after structural relaxation.

Cell and atoms, written as POSCAR:
```
YPdIO2
1.0
4.205 0.000 0.000
0.000 4.205 0.000
0.000 0.000 6.814
Y Pd I O
1 1 1 2
Cartesian
0.000 0.000 0.000
2.103 2.103 3.407
0.000 0.000 3.407
0.000 2.103 0.000
2.103 0.000 0.000
```

---

Stability, descending: Q, P

---

P.
Density functional theory data (PBE-GGA) for ZnPdIO2 after structural relaxation.

Cell and atoms, written as POSCAR:
```
ZnPdIO2
1.0
3.823 0.000 0.000
0.000 3.823 0.000
0.000 0.000 6.973
Zn Pd I O
1 1 1 2
Cartesian
0.000 0.000 0.000
1.911 1.911 3.487
0.000 0.000 3.487
0.000 1.911 0.000
1.911 0.000 0.000
```

---

Q.
Density functional theory data (PBE-GGA) for ZnPdIO2 after structural relaxation.

Cell and atoms, written as POSCAR:
```
ZnPdIO2
1.0
3.919 0.000 0.000
0.000 3.919 0.000
0.000 0.000 7.236
Zn Pd I O
1 1 1 2
Cartesian
0.000 0.000 0.000
1.959 1.959 3.618
1.959 1.959 0.000
0.000 1.959 3.618
1.959 0.000 3.618
```

---

Stability, descending: P, Q

---

P.
Density functional theory data (PBE-GGA) for ZnPdI2O after structural relaxation.

Cell and atoms, written as POSCAR:
```
ZnPdI2O
1.0
5.794 0.000 0.000
0.000 5.794 0.000
0.000 0.000 3.548
Zn Pd I O
1 1 2 1
Cartesian
0.000 0.000 0.000
2.897 2.897 1.774
0.000 2.897 0.000
2.897 0.000 0.000
0.000 0.000 1.774
```

---

Q.
Density functional theory data (PBE-GGA) for ZnPdI2O after structural relaxation.

Cell and atoms, written as POSCAR:
```
ZnPdI2O
1.0
5.640 0.000 0.000
0.000 5.640 0.000
0.000 0.000 3.895
Zn Pd I O
1 1 2 1
Cartesian
0.000 0.000 0.000
2.820 2.820 1.947
0.000 2.820 1.947
2.820 0.000 1.947
2.820 2.820 0.000
```

---

Stability, descending: Q, P

---

P.
Density functional theory data (PBE-GGA) for Pm2IO2 after structural relaxation.

Cell and atoms, written as POSCAR:
```
Pm2IO2
1.0
3.932 0.000 0.000
0.000 3.932 0.000
0.000 0.000 6.844
Pm I O
2 1 2
Cartesian
0.000 0.000 1.373
0.000 0.000 5.471
1.966 1.966 3.422
0.000 1.966 0.000
1.966 0.000 0.000
```

---

Q.
Density functional theory data (PBE-GGA) for Pm2IO2 after structural relaxation.

Cell and atoms, written as POSCAR:
```
Pm2IO2
1.0
-2.091 2.091 6.177
2.091 -2.091 6.177
2.091 2.091 -6.177
Pm I O
2 1 2
Cartesian
0.000 0.000 2.021
0.000 0.000 10.334
0.000 0.000 6.177
2.091 0.000 3.089
0.000 2.091 3.089
```

---

Stability, descending: Q, P

---

P.
Density functional theory data (PBE-GGA) for PrI2O6 after structural relaxation.

Cell and atoms, written as POSCAR:
```
PrI2O6
1.0
4.871 -5.700 0.000
4.871 5.700 0.000
-4.853 0.000 6.294
Pr I O
2 4 12
Cartesian
1.231 3.839 4.720
3.657 -3.839 1.573
-1.979 1.780 5.129
0.448 -1.780 1.982
4.440 1.780 4.312
6.867 -1.780 1.165
-0.394 2.014 4.141
4.296 3.726 0.318
0.334 0.056 1.873
-2.093 -0.056 5.020
3.018 3.726 2.828
2.032 -2.014 0.994
2.855 2.014 5.300
1.870 -3.726 3.465
6.981 0.056 1.274
4.554 -0.056 4.420
0.591 -3.726 5.975
5.282 -2.014 2.153
```

---

Q.
Density functional theory data (PBE-GGA) for PrI2O6 after structural relaxation.

Cell and atoms, written as POSCAR:
```
PrI2O6
1.0
4.874 -6.149 0.000
4.874 6.149 0.000
-1.809 0.000 6.046
Pr I O
2 4 12
Cartesian
3.518 5.010 4.534
4.422 -5.010 1.511
1.733 1.466 4.783
2.637 -1.466 1.760
5.302 1.466 4.286
6.207 -1.466 1.263
1.940 3.319 5.022
0.178 0.602 3.793
1.083 -0.602 0.771
2.804 1.279 3.306
5.095 3.319 4.046
3.708 -1.279 0.283
4.232 1.279 5.762
2.844 -3.319 1.999
5.136 -1.279 2.739
6.857 0.602 5.275
7.761 -0.602 2.252
6.000 -3.319 1.024
```

---

Stability, descending: P, Q

---

P.
Density functional theory data (PBE-GGA) for PrI3O9 after structural relaxation.

Cell and atoms, written as POSCAR:
```
PrI3O9
1.0
7.026 0.000 0.000
0.000 8.665 0.000
0.000 0.000 6.960
Pr I O
2 6 18
Cartesian
1.757 2.166 0.078
5.270 6.498 6.882
0.209 6.498 3.679
1.757 6.498 6.784
3.304 6.498 3.679
3.722 2.166 3.281
5.270 2.166 0.177
6.817 2.166 3.281
0.349 2.166 5.014
0.416 5.259 6.092
0.416 7.738 6.092
1.757 2.166 2.535
1.757 5.193 3.242
1.757 7.804 3.242
3.097 5.259 6.092
3.097 7.738 6.092
3.164 2.166 5.014
3.862 6.498 1.946
3.929 0.927 0.868
3.929 3.405 0.868
5.270 0.860 3.719
5.270 3.472 3.719
5.270 6.498 4.426
6.610 0.927 0.868
6.610 3.405 0.868
6.677 6.498 1.946
```

---

Q.
Density functional theory data (PBE-GGA) for PrI3O9 after structural relaxation.

Cell and atoms, written as POSCAR:
```
PrI3O9
1.0
8.972 0.000 0.000
0.000 6.057 0.000
-7.156 0.000 15.542
Pr I O
4 12 36
Cartesian
0.546 1.395 1.552
-3.032 1.633 9.323
4.848 4.424 6.219
1.269 4.662 13.990
-1.912 1.130 5.461
-5.490 1.899 13.232
-0.507 3.852 8.113
3.071 5.233 0.342
-2.010 3.563 12.476
1.568 5.523 4.705
0.248 0.534 10.838
3.826 2.494 3.067
-1.255 0.824 15.201
2.323 2.205 7.429
7.306 4.158 2.310
3.728 4.927 10.081
-4.469 0.311 10.924
-0.891 2.718 3.153
-2.473 0.553 7.119
-6.052 2.476 14.890
-3.912 3.693 10.423
-0.334 5.392 2.652
-2.290 3.611 7.603
-5.869 5.474 15.374
-3.363 3.529 13.714
0.215 5.557 5.943
1.284 1.112 3.950
-2.295 1.916 11.721
-3.539 0.532 14.712
0.039 2.496 6.941
-1.179 6.056 9.784
2.400 3.030 2.012
2.764 0.188 1.842
-0.814 2.840 9.613
2.630 3.217 5.929
-0.948 5.869 13.700
2.994 0.001 5.759
-0.584 3.027 13.530
1.777 3.561 8.601
5.355 5.525 0.830
4.110 4.141 3.822
0.532 4.945 11.593
1.601 0.500 9.599
5.179 2.528 1.828
7.685 0.583 0.168
4.106 2.446 7.939
2.149 0.665 12.890
5.728 2.364 5.119
7.867 3.581 0.652
4.289 5.504 8.423
2.707 3.339 12.390
6.285 5.746 4.618
```

---

Stability, descending: Q, P

---

P.
Density functional theory data (PBE-GGA) for PtIO2 after structural relaxation.

Cell and atoms, written as POSCAR:
```
PtIO2
1.0
0.000 2.995 2.995
2.995 0.000 2.995
2.995 2.995 0.000
Pt I O
1 1 2
Cartesian
0.000 0.000 0.000
2.995 2.995 2.995
1.498 1.498 1.498
4.493 4.493 4.493
```

---

Q.
Density functional theory data (PBE-GGA) for PtIO2 after structural relaxation.

Cell and atoms, written as POSCAR:
```
PtIO2
1.0
1.544 0.891 7.333
-1.544 0.891 7.333
0.000 -1.783 7.333
Pt I O
1 1 2
Cartesian
0.000 0.000 0.000
0.000 0.000 11.000
0.000 0.000 1.908
0.000 0.000 20.092
```

---

R.
Density functional theory data (PBE-GGA) for PtIO2 after structural relaxation.

Cell and atoms, written as POSCAR:
```
PtIO2
1.0
-3.086 3.086 4.292
3.086 -3.086 4.292
3.086 3.086 -4.292
Pt I O
2 2 4
Cartesian
0.000 0.000 0.000
0.000 3.086 2.146
3.086 0.000 2.146
0.000 0.000 4.292
0.551 1.543 1.073
-1.543 2.535 3.219
-0.551 4.629 1.073
1.543 3.637 3.219
```

---

S.
Density functional theory data (PBE-GGA) for PtIO2 after structural relaxation.

Cell and atoms, written as POSCAR:
```
PtIO2
1.0
1.598 0.923 8.386
-1.598 0.923 8.386
0.000 -1.846 8.386
Pt I O
1 1 2
Cartesian
0.000 0.000 0.000
0.000 0.000 12.579
0.000 0.000 9.311
0.000 0.000 15.847
```

---

Stability, descending: S, Q, R, P

---

P.
Density functional theory data (PBE-GGA) for Pt3IO after structural relaxation.

Cell and atoms, written as POSCAR:
```
Pt3IO
1.0
4.981 0.000 0.000
0.000 4.981 0.000
0.000 0.000 4.981
Pt I O
3 1 1
Cartesian
0.000 0.000 2.490
0.000 2.490 0.000
2.490 0.000 0.000
0.000 0.000 0.000
2.490 2.490 2.490
```

---

Q.
Density functional theory data (PBE-GGA) for Pt3IO after structural relaxation.

Cell and atoms, written as POSCAR:
```
Pt3IO
1.0
4.427 0.000 0.000
0.000 4.427 0.000
0.000 0.000 4.427
Pt I O
3 1 1
Cartesian
0.000 0.000 2.213
0.000 2.213 0.000
2.213 0.000 0.000
2.213 2.213 2.213
0.000 0.000 0.000
```

---

Stability, descending: Q, P

---

P.
Density functional theory data (PBE-GGA) for RbPtI2O after structural relaxation.

Cell and atoms, written as POSCAR:
```
RbPtI2O
1.0
6.524 0.000 0.000
0.000 6.524 0.000
0.000 0.000 4.118
Rb Pt I O
1 1 2 1
Cartesian
0.000 0.000 0.000
3.262 3.262 2.059
0.000 3.262 0.000
3.262 0.000 0.000
0.000 0.000 2.059
```

---

Q.
Density functional theory data (PBE-GGA) for RbPtI2O after structural relaxation.

Cell and atoms, written as POSCAR:
```
RbPtI2O
1.0
6.031 0.000 0.000
0.000 6.031 0.000
0.000 0.000 3.886
Rb Pt I O
1 1 2 1
Cartesian
0.000 0.000 0.000
3.015 3.015 1.943
0.000 3.015 1.943
3.015 0.000 1.943
3.015 3.015 0.000
```

---

Stability, descending: Q, P

---

P.
Density functional theory data (PBE-GGA) for RbPtIO2 after structural relaxation.

Cell and atoms, written as POSCAR:
```
RbPtIO2
1.0
4.217 0.000 0.000
0.000 4.217 0.000
0.000 0.000 7.962
Rb Pt I O
1 1 1 2
Cartesian
0.000 0.000 0.000
2.108 2.108 3.981
0.000 0.000 3.981
0.000 2.108 0.000
2.108 0.000 0.000
```

---

Q.
Density functional theory data (PBE-GGA) for RbPtIO2 after structural relaxation.

Cell and atoms, written as POSCAR:
```
RbPtIO2
1.0
4.372 0.000 0.000
0.000 4.372 0.000
0.000 0.000 5.588
Rb Pt I O
1 1 1 2
Cartesian
0.000 0.000 0.000
2.186 2.186 2.794
2.186 2.186 0.000
0.000 2.186 2.794
2.186 0.000 2.794
```

---

Stability, descending: Q, P